Run 1
Density functional theory data (GGA-PBE) for an optimized crystal structure of CaPm2Zr.

The structure belongs to space group P4/mmm (No. 123); the cell edges are 3.550, 3.550 and 10.288 Å and the angles 90.00°, 90.00° and 90.00°. Symmetry generates all atoms from Ca at (0.000, 0.000, 0.000), Pm at (0.500, 0.500, 0.283) and Zr at (0.000, 0.000, 0.500).

The calculated volume is 32.4 Å³/atom.



Run 2
Density functional theory data (GGA-PBE) for an optimized crystal structure of CaPm2Zr.

The structure belongs to space group R3m (No. 160, hexagonal axes); the cell edges are 3.5370, 3.5370 and 35.7694 Å and the angles 90.00°, 90.00° and 120.00°. Symmetry generates all atoms from Ca at (0.0000, 0.0000, 0.0000), Pm at (0.0000, 0.0000, 0.2404), Pm at (0.0000, 0.0000, 0.4254) and Zr at (0.0000, 0.0000, 0.8330).

The calculated volume is 32.3 Å³/atom.



Most stable of them? run 1.



Run 1
Density functional theory data (GGA-PBE) for an optimized crystal structure of CaPmZr.

The structure belongs to space group I4mm (No. 107); the cell edges are 3.441, 3.441 and 16.017 Å and the angles 90.00°, 90.00° and 90.00°. Symmetry generates all atoms from Ca at (0.000, 0.000, 0.000), Pm at (0.000, 0.000, 0.304) and Zr at (0.000, 0.000, 0.665).

The calculated volume is 31.6 Å³/atom.



Run 2
Density functional theory data (GGA-PBE) for an optimized crystal structure of CaPmZr.

The structure belongs to space group P-1 (No. 2); the cell edges are 3.385, 5.674 and 9.675 Å and the angles 93.75°, 90.03° and 90.04°. Symmetry generates all atoms from Ca at (0.249, 0.236, 0.236), Pm at (0.250, 0.251, 0.613) and Zr at (0.251, 0.715, 0.062).

The calculated volume is 30.9 Å³/atom.



Most stable of them? run 1.